No. 1
Compound: TlNiW2
Source: the Alexandria database
Functional: PBE
Structure: optimized geometry

Geometry as extended XYZ:
```
4
Lattice="-5.298 -0.893 0.537 3.036 -3.027 2.883 -0.374 1.066 2.562" Properties=species:S:1:pos:R:3 pbc="T T T"
Ni -1.131 -1.960 1.710
Tl -2.836 0.086 1.549
W 0.000 0.000 0.000
W 1.331 -0.981 2.722
```

**Density of states at the Fermi level**: 4.03 states/eV per cell
**Calculated formation energy**: 773 meV per atom
**ΔE to the lowest computed polymorph**: 282 meV/atom

=====

No. 2
Compound: SrSiAg2O4
Source: the Alexandria database
Functional: PBE
Structure: optimized geometry

Geometry as extended XYZ:
```
8
Lattice="-1.844 1.399 -5.651 -5.290 0.231 -2.172 -1.072 5.112 -2.339" Properties=species:S:1:pos:R:3 pbc="T T T"
Sr -6.197 0.949 -4.998
Si -4.071 3.408 -5.082
Ag -2.264 3.733 -2.292
Ag -4.375 1.291 -2.208
O -5.154 3.136 -3.877
O -4.223 2.251 -6.238
O -4.303 4.937 -5.747
O -2.503 3.425 -4.471
```

**Uncorrected formation energy**: -1.80 eV per atom

=====

No. 3
Compound: Ce3Ga4Si2
Source: the Alexandria database
Functional: PBE
Structure: optimized geometry

Geometry as extended XYZ:
```
9
Lattice="-3.873 0.776 1.410 -0.194 -3.117 -5.051 0.758 -6.258 5.526" Properties=species:S:1:pos:R:3 pbc="T T T"
Ce -2.151 -4.682 2.908
Ce 0.000 0.000 0.000
Ce -1.158 -3.917 -1.023
Ga -2.847 -1.209 -0.917
Ga -0.461 -7.390 2.802
Ga -3.381 -5.924 0.214
Ga 0.072 -2.675 1.671
Si -2.200 -1.962 1.275
Si -1.108 -6.637 0.610
```

**Density of states at the Fermi level**: 14.67 states/eV per cell
**Uncorrected formation energy**: -0.62 eV per atom

=====

No. 4
Compound: NpCo6P4
Source: the Alexandria database
Functional: PBE
Structure: optimized geometry

Geometry as extended XYZ:
```
11
Lattice="3.532 0.000 0.000 0.000 5.666 -3.271 0.000 0.000 6.542" Properties=species:S:1:pos:R:3 pbc="T T T"
Np 0.000 0.000 0.000
Co 0.000 3.025 -1.303
Co 1.766 3.369 3.271
Co 0.000 3.025 1.303
Co 0.000 5.281 0.000
Co 1.766 1.149 4.553
Co 1.766 1.149 1.989
P 1.766 4.579 1.388
P 1.766 2.174 0.000
P 1.766 4.579 -1.388
P 0.000 1.889 3.271
```

**Density of states at the Fermi level**: 14.84 states/eV per cell
**Calculated formation energy**: -643 meV per atom

=====

No. 5
Compound: SmDySc2
Source: the Alexandria database
Functional: PBE
Structure: optimized geometry

Geometry as extended XYZ:
```
4
Lattice="-2.703 1.403 3.523 -3.941 -0.172 -2.955 -0.761 -4.697 1.287" Properties=species:S:1:pos:R:3 pbc="T T T"
Sc -0.380 -2.348 0.644
Sc -1.970 -0.086 -1.478
Sm -1.351 0.702 1.761
Dy -3.702 -1.732 0.927
```

**Density of states at the Fermi level**: 6.81 states/eV per cell
**Calculated formation energy**: 53 meV per atom
**ΔE to the lowest computed polymorph**: 4 meV/atom

=====

No. 6
Compound: Pu2GaRu
Source: the Alexandria database
Functional: PBE
Structure: optimized geometry

Geometry as extended XYZ:
```
4
Lattice="-3.589 -0.473 3.496 -1.889 -2.083 -2.220 1.656 -2.895 1.308" Properties=species:S:1:pos:R:3 pbc="T T T"
Ru -1.794 -0.236 1.748
Ga -1.911 -2.726 1.292
Pu 0.828 -1.448 0.654
Pu -0.944 -1.042 -1.110
```

**Density of states at the Fermi level**: 8.09 states/eV per cell
**Calculated formation energy**: 165 meV per atom